ZnSb2TeAu | PBE | optimized geometry

a b c (Å): 5.425 5.425 5.516
angles (deg): 90.00 90.00 90.00
Positions (direct):
Sb 0.000 0.500 0.000
Sb 0.500 0.000 0.000
Zn 0.500 0.500 0.500
Te 0.000 0.000 0.500
Au 0.000 0.000 0.000

Formation energy without anion corrections   666 meV per atom
Symmetry   No. 123
N(E_F)   6.080 states/eV/cell
Final energy   -12.6 eV/cell